## NaVO (PBE with a Hubbard U)

Data for a relaxed structure of NaVO.

Results
**M_tot**: 0.61 μB/f.u.
**SG**: P4/nmm
**Electronic total energy**: -5.336 eV per atom
**N(E_F)**: 0.9 states/eV/f.u.

Unit cell a=3.265 b=3.265 c=7.885 alpha=90.00 beta=90.00 gamma=90.00
Fractional positions:
Na 0.250 0.250 0.133
Na 0.750 0.750 0.867
V 0.250 0.250 0.594
V 0.750 0.750 0.406
O 0.250 0.250 0.819
O 0.750 0.750 0.181